Compound: Ba2TlTe2O6
Source: Alexandria
Functional: PBE
Structure: relaxed

Properties
**Formation energy (no corrections)**: -36.02 kcal/mol of atoms
**Density of states at the Fermi level**: 0.19 states/eV per atom

abc: 6.603 6.629 7.407
angles: 108.06 94.06 111.39
Fractional coordinates of all 11 atoms:
Ba  0.161  0.298  0.320
Ba  0.839  0.702  0.680
Tl  0.500  0.000  0.000
Te  0.249  0.426  0.842
Te  0.751  0.574  0.158
O  0.002  0.622  0.333
O  0.150  0.146  0.897
O  0.428  0.375  0.660
O  0.572  0.625  0.340
O  0.850  0.854  0.103
O  0.998  0.378  0.667